[1]
# SrLiHoS3 | OQMD via LeMat-Bulk | PBE | optimized geometry
data_SrLiHoS3
_chemical_formula_sum 'Sr2 Li2 Ho2 S6'
_symmetry_space_group_name_H-M 'P 1'
_symmetry_Int_Tables_number 1
_cell_length_a 8.6890
_cell_length_b 8.6890
_cell_length_c 8.3008
_cell_angle_alpha 103.97
_cell_angle_beta 103.97
_cell_angle_gamma 26.35
loop_
_symmetry_equiv_pos_as_xyz
'x,y,z'
loop_
_atom_site_label
_atom_site_type_symbol
_atom_site_fract_x
_atom_site_fract_y
_atom_site_fract_z
Ho1 Ho 0.1653 0.1653 0.0859
Ho2 Ho 0.8347 0.8347 0.9141
Li1 Li 0.5069 0.5069 0.2026
Li2 Li 0.4931 0.4931 0.7974
S1 S 0.0000 0.0000 0.0000
S2 S 0.3320 0.3320 0.1415
S3 S 0.6739 0.6739 0.3123
S4 S 0.5000 0.5000 0.5000
S5 S 0.3261 0.3261 0.6877
S6 S 0.6680 0.6680 0.8585
Sr1 Sr 0.8663 0.8663 0.4345
Sr2 Sr 0.1337 0.1337 0.5655
# Symmetry = C2/m
# Mass density = 4.38 g/cm³

***

[2]
# SrLiHoS3 | OQMD via LeMat-Bulk | PBE | optimized geometry
data_SrLiHoS3
_chemical_formula_sum 'Sr2 Li2 Ho2 S6'
_symmetry_space_group_name_H-M 'P 1'
_symmetry_Int_Tables_number 1
_cell_length_a 6.8081
_cell_length_b 6.8081
_cell_length_c 10.2267
_cell_angle_alpha 90.00
_cell_angle_beta 90.00
_cell_angle_gamma 145.94
loop_
_symmetry_equiv_pos_as_xyz
'x,y,z'
loop_
_atom_site_label
_atom_site_type_symbol
_atom_site_fract_x
_atom_site_fract_y
_atom_site_fract_z
Ho1 Ho 0.0000 0.0000 0.0000
Ho2 Ho 0.0000 0.0000 0.5000
Li1 Li 0.5238 0.4762 0.2500
Li2 Li 0.4762 0.5238 0.7500
S1 S 0.6337 0.3663 0.0671
S2 S 0.9230 0.0770 0.2500
S3 S 0.6337 0.3663 0.4329
S4 S 0.3663 0.6337 0.5671
S5 S 0.0770 0.9230 0.7500
S6 S 0.3663 0.6337 0.9329
Sr1 Sr 0.2509 0.7491 0.2500
Sr2 Sr 0.7491 0.2509 0.7500
# Symmetry = Cmcm
# Mass density = 4.45 g/cm³

***

[3]
# SrLiHoS3 | OQMD via LeMat-Bulk | PBE | optimized geometry
data_SrLiHoS3
_chemical_formula_sum 'Sr4 Li4 Ho4 S12'
_symmetry_space_group_name_H-M 'P 1'
_symmetry_Int_Tables_number 1
_cell_length_a 13.2507
_cell_length_b 3.9860
_cell_length_c 10.3533
_cell_angle_alpha 90.00
_cell_angle_beta 90.00
_cell_angle_gamma 90.00
loop_
_symmetry_equiv_pos_as_xyz
'x,y,z'
loop_
_atom_site_label
_atom_site_type_symbol
_atom_site_fract_x
_atom_site_fract_y
_atom_site_fract_z
Ho1 Ho 0.4835 0.7500 0.1673
Ho2 Ho 0.9835 0.7500 0.3327
Ho3 Ho 0.0165 0.2500 0.6673
Ho4 Ho 0.5165 0.2500 0.8327
Li1 Li 0.9940 0.2500 0.0896
Li2 Li 0.4940 0.2500 0.4104
Li3 Li 0.5060 0.7500 0.5896
Li4 Li 0.0060 0.7500 0.9104
S1 S 0.6062 0.2500 0.0687
S2 S 0.0948 0.7500 0.1119
S3 S 0.8609 0.2500 0.2465
S4 S 0.3609 0.2500 0.2535
S5 S 0.5948 0.7500 0.3881
S6 S 0.1062 0.2500 0.4313
S7 S 0.8938 0.7500 0.5687
S8 S 0.4052 0.2500 0.6119
S9 S 0.6391 0.7500 0.7465
S10 S 0.1391 0.7500 0.7535
S11 S 0.9052 0.2500 0.8881
S12 S 0.3938 0.7500 0.9313
Sr1 Sr 0.7720 0.7500 0.0284
Sr2 Sr 0.2720 0.7500 0.4716
Sr3 Sr 0.7280 0.2500 0.5284
Sr4 Sr 0.2280 0.2500 0.9716
# Symmetry = Pnma
# Mass density = 4.32 g/cm³

***

no.,ΔE to the lowest computed polymorph (eV per atom)
1,0.0000
2,0.0212
3,0.0413